Entry from the Alexandria database: an optimized crystal structure of Sc2TcTe (PBE-GGA).

a = 4.3251 Å, b = 4.3251 Å, c = 8.2135 Å
α = 90.00°, β = 90.00°, γ = 90.00°
With the nearest neighbours (Å) after each atom.
Element x y z (fractional)
Sc 0.0000 0.5000 0.2500  4 Tc 2.98, 4 Te 2.98, 4 Sc 3.06
Sc 0.0000 0.5000 0.7500  4 Tc 2.98, 4 Te 2.98, 4 Sc 3.06
Sc 0.5000 0.0000 0.2500  4 Tc 2.98, 4 Te 2.98, 4 Sc 3.06
Sc 0.5000 0.0000 0.7500  4 Tc 2.98, 4 Te 2.98, 4 Sc 3.06
Tc 0.0000 0.0000 0.0000  8 Sc 2.98, 4 Te 3.06
Tc 0.5000 0.5000 0.5000  8 Sc 2.98, 4 Te 3.06
Te 0.0000 0.0000 0.5000  8 Sc 2.98, 4 Tc 3.06
Te 0.5000 0.5000 0.0000  8 Sc 2.98, 4 Tc 3.06

Values from the calculation:
Space-group type: I4/mmm, No. 139



Entry from the Alexandria database: an optimized crystal structure of Sc2TcTe (PBE-GGA).

a = 3.5672 Å, b = 3.5672 Å, c = 26.1164 Å
α = 90.00°, β = 90.00°, γ = 120.00°
With the nearest neighbours (Å) after each atom.
Element x y z (fractional)
Sc 0.0000 0.0000 0.0885  1 Tc 2.31
Sc 0.0000 0.0000 0.9115  1 Tc 2.31
Sc 0.3333 0.6667 0.5782  1 Tc 2.31
Sc 0.3333 0.6667 0.7552  1 Tc 2.31
Sc 0.6667 0.3333 0.2448  1 Tc 2.31
Sc 0.6667 0.3333 0.4218  1 Tc 2.31
Tc 0.0000 0.0000 0.0000  2 Sc 2.31
Tc 0.3333 0.6667 0.6667  2 Sc 2.31
Tc 0.6667 0.3333 0.3333  2 Sc 2.31
Te 0.0000 0.0000 0.5000  6 Sc 2.90
Te 0.3333 0.6667 0.1667  6 Sc 2.90
Te 0.6667 0.3333 0.8333  6 Sc 2.90

Values from the calculation:
Space-group type: R-3m, No. 166



Entry from the Alexandria database: an optimized crystal structure of Sc2TcTe (PBE-GGA).

a = 4.0465 Å, b = 4.0465 Å, c = 9.5625 Å
α = 90.00°, β = 90.00°, γ = 90.00°
With the nearest neighbours (Å) after each atom.
Element x y z (fractional)
Sc 0.0000 0.0000 0.0000  4 Te 2.86, 4 Tc 3.13, 4 Sc 3.13
Sc 0.0000 0.5000 0.2500  4 Tc 2.86, 4 Te 3.13, 4 Sc 3.13
Sc 0.5000 0.0000 0.7500  4 Tc 2.86, 4 Te 3.13, 4 Sc 3.13
Sc 0.5000 0.5000 0.5000  4 Te 2.86, 4 Tc 3.13, 4 Sc 3.13
Tc 0.0000 0.5000 0.7500  8 Sc 2.86-3.13, 4 Te 3.13
Tc 0.5000 0.0000 0.2500  8 Sc 2.86-3.13, 4 Te 3.13
Te 0.0000 0.0000 0.5000  8 Sc 2.86-3.13, 4 Tc 3.13
Te 0.5000 0.5000 0.0000  8 Sc 2.86-3.13, 4 Tc 3.13

Values from the calculation:
Space-group type: I-4m2, No. 119



Entry from the Alexandria database: an optimized crystal structure of ScTc2Te (PBE-GGA).

a = 3.5724 Å, b = 4.4204 Å, c = 4.4407 Å
α = 90.00°, β = 90.00°, γ = 90.00°
With the nearest neighbours (Å) after each atom.
Element x y z (fractional)
Sc 0.0000 0.0000 0.0000  4 Te 2.84, 8 Tc 2.85-3.13
Tc 0.0000 0.5000 0.5000  4 Tc 2.84, 4 Te 2.85, 4 Sc 3.13
Tc 0.5000 0.0000 0.5000  4 Tc 2.84, 4 Sc 2.85, 4 Te 3.13
Te 0.5000 0.5000 0.0000  4 Sc 2.84, 8 Tc 2.85-3.13

Values from the calculation:
Space-group type: Pmmm, No. 47



Entry from the Alexandria database: an optimized crystal structure of ScTcTe (PBE-GGA).

a = 3.2808 Å, b = 3.2808 Å, c = 11.3376 Å
α = 90.00°, β = 90.00°, γ = 90.00°
With the nearest neighbours (Å) after each atom.
Element x y z (fractional)
Sc 0.0000 0.0000 0.0000  4 Tc 2.92, 1 Te 3.22
Sc 0.5000 0.5000 0.5000  4 Tc 2.92, 1 Te 3.22
Tc 0.0000 0.0000 0.3438  4 Te 2.73, 4 Sc 2.92
Tc 0.5000 0.5000 0.8438  4 Te 2.73, 4 Sc 2.92
Te 0.0000 0.0000 0.7163  4 Tc 2.73
Te 0.5000 0.5000 0.2163  4 Tc 2.73

Values from the calculation:
Energy relative to the lowest polymorph listed for this composition: 51 meV per atom
Space-group type: I4mm, No. 107



Entry from the Alexandria database: an optimized crystal structure of Sc2TcTe (PBE-GGA).

a = 3.3561 Å, b = 4.4566 Å, c = 11.2187 Å
α = 90.00°, β = 90.00°, γ = 90.00°
With the nearest neighbours (Å) after each atom.
Element x y z (fractional)
Sc 0.0000 0.0000 0.0000  2 Tc 2.92, 4 Te 2.98
Sc 0.0000 0.5000 0.2153  4 Tc 2.79, 2 Te 3.09
Sc 0.5000 0.0000 0.7153  4 Tc 2.79, 2 Te 3.09
Sc 0.5000 0.5000 0.5000  2 Tc 2.92, 4 Te 2.98
Tc 0.0000 0.5000 0.7131  2 Te 2.74, 6 Sc 2.79-2.92
Tc 0.5000 0.0000 0.2131  2 Te 2.74, 6 Sc 2.79-2.92
Te 0.0000 0.0000 0.4065  2 Tc 2.74, 4 Sc 2.98
Te 0.5000 0.5000 0.9065  2 Tc 2.74, 4 Sc 2.98

Values from the calculation:
Space-group type: Imm2, No. 44



Entry from the Alexandria database: an optimized crystal structure of ScTc2Te (PBE-GGA).

a = 9.2562 Å, b = 3.2841 Å, c = 4.8763 Å
α = 90.00°, β = 106.39°, γ = 90.00°
With the nearest neighbours (Å) after each atom.
Element x y z (fractional)
Sc 0.0000 0.0000 0.0000  6 Tc 2.88-2.94, 4 Te 2.94
Sc 0.5000 0.5000 0.0000  6 Tc 2.88-2.94, 4 Te 2.94
Tc 0.2364 0.0000 0.7207  3 Te 2.70-2.93, 2 Tc 2.78, 3 Sc 2.88-2.94
Tc 0.2636 0.5000 0.2793  3 Te 2.70-2.93, 2 Tc 2.78, 3 Sc 2.88-2.94
Tc 0.7364 0.5000 0.7207  3 Te 2.70-2.93, 2 Tc 2.78, 3 Sc 2.88-2.94
Tc 0.7636 0.0000 0.2793  3 Te 2.70-2.93, 2 Tc 2.78, 3 Sc 2.88-2.94
Te 0.0000 0.5000 0.5000  6 Tc 2.70-2.93, 4 Sc 2.94
Te 0.5000 0.0000 0.5000  6 Tc 2.70-2.93, 4 Sc 2.94

Values from the calculation:
Space-group type: C2/m, No. 12



Entry from the Alexandria database: an optimized crystal structure of Sc2TcTe (PBE-GGA).

a = 6.7078 Å, b = 6.7078 Å, c = 6.7078 Å
α = 90.00°, β = 90.00°, γ = 90.00°
With the nearest neighbours (Å) after each atom.
Element x y z (fractional)
Sc 0.0000 0.0000 0.0000  4 Te 2.90, 4 Sc 2.90
Sc 0.0000 0.5000 0.5000  4 Te 2.90, 4 Sc 2.90
Sc 0.2500 0.2500 0.2500  4 Tc 2.90, 4 Sc 2.90
Sc 0.2500 0.7500 0.7500  4 Tc 2.90, 4 Sc 2.90
Sc 0.5000 0.0000 0.5000  4 Te 2.90, 4 Sc 2.90
Sc 0.5000 0.5000 0.0000  4 Te 2.90, 4 Sc 2.90
Sc 0.7500 0.2500 0.7500  4 Tc 2.90, 4 Sc 2.90
Sc 0.7500 0.7500 0.2500  4 Tc 2.90, 4 Sc 2.90
Tc 0.0000 0.0000 0.5000  4 Te 2.90, 4 Sc 2.90
Tc 0.0000 0.5000 0.0000  4 Te 2.90, 4 Sc 2.90
Tc 0.5000 0.0000 0.0000  4 Te 2.90, 4 Sc 2.90
Tc 0.5000 0.5000 0.5000  4 Te 2.90, 4 Sc 2.90
Te 0.2500 0.2500 0.7500  4 Tc 2.90, 4 Sc 2.90
Te 0.2500 0.7500 0.2500  4 Tc 2.90, 4 Sc 2.90
Te 0.7500 0.2500 0.2500  4 Tc 2.90, 4 Sc 2.90
Te 0.7500 0.7500 0.7500  4 Sc 2.90, 4 Tc 2.90

Values from the calculation:
Space-group type: F-43m, No. 216



Entry from the Alexandria database: an optimized crystal structure of Sc2TcTe (PBE-GGA).

a = 4.2588 Å, b = 4.2588 Å, c = 19.2203 Å
α = 90.00°, β = 90.00°, γ = 90.00°
With the nearest neighbours (Å) after each atom.
Element x y z (fractional)
Sc 0.2459 0.2500 0.1250  2 Tc 2.83, 2 Te 2.84, 4 Sc 2.99-3.04
Sc 0.2500 0.7459 0.3750  2 Tc 2.83, 2 Te 2.84, 4 Sc 2.99-3.04
Sc 0.2500 0.7541 0.8750  2 Tc 2.83, 2 Te 2.84, 4 Sc 2.99-3.04
Sc 0.2541 0.2500 0.6250  2 Tc 2.83, 2 Te 2.84, 4 Sc 2.99-3.04
Sc 0.7459 0.7500 0.6250  2 Tc 2.83, 2 Te 2.84, 4 Sc 2.99-3.04
Sc 0.7500 0.2459 0.8750  2 Tc 2.83, 2 Te 2.84, 4 Sc 2.99-3.04
Sc 0.7500 0.2541 0.3750  2 Tc 2.83, 2 Te 2.84, 4 Sc 2.99-3.04
Sc 0.7541 0.7500 0.1250  2 Tc 2.83, 2 Te 2.84, 4 Sc 2.99-3.04
Tc 0.0000 0.0000 0.0000  4 Sc 2.83, 4 Te 3.01
Tc 0.0000 0.5000 0.2500  4 Sc 2.83, 4 Te 3.01
Tc 0.5000 0.0000 0.7500  4 Sc 2.83, 4 Te 3.01
Tc 0.5000 0.5000 0.5000  4 Sc 2.83, 4 Te 3.01
Te 0.0000 0.0000 0.5000  4 Sc 2.84, 4 Tc 3.01
Te 0.0000 0.5000 0.7500  4 Sc 2.84, 4 Tc 3.01
Te 0.5000 0.0000 0.2500  4 Sc 2.84, 4 Tc 3.01
Te 0.5000 0.5000 0.0000  4 Sc 2.84, 4 Tc 3.01

Values from the calculation:
Space-group type: I-42d, No. 122



Entry from the Alexandria database: an optimized crystal structure of Sc2TcTe (PBE-GGA).

a = 3.8385 Å, b = 3.8385 Å, c = 5.9277 Å
α = 90.00°, β = 90.00°, γ = 90.00°
With the nearest neighbours (Å) after each atom.
Element x y z (fractional)
Sc 0.0000 0.0000 0.0000  1 Tc 2.52
Sc 0.5000 0.5000 0.3094  4 Tc 2.80, 2 Te 2.93-3.00
Tc 0.0000 0.0000 0.4245  5 Sc 2.52-2.80
Te 0.5000 0.5000 0.8032  6 Sc 2.93-3.00

Values from the calculation:
Space-group type: P4mm, No. 99



Entry from the Alexandria database: an optimized crystal structure of ScTc2Te (PBE-GGA).

a = 3.5512 Å, b = 4.2713 Å, c = 9.2695 Å
α = 90.00°, β = 90.00°, γ = 90.00°
With the nearest neighbours (Å) after each atom.
Element x y z (fractional)
Sc 0.0000 0.0000 0.0000  4 Te 2.78, 4 Tc 2.90
Sc 0.5000 0.5000 0.5000  4 Te 2.78, 4 Tc 2.90
Tc 0.0000 0.5000 0.2520  4 Tc 2.78, 2 Sc 2.90, 2 Te 2.93
Tc 0.0000 0.5000 0.7480  4 Tc 2.78, 2 Sc 2.90, 2 Te 2.93
Tc 0.5000 0.0000 0.2480  4 Tc 2.78, 2 Sc 2.90, 2 Te 2.93
Tc 0.5000 0.0000 0.7520  4 Tc 2.78, 2 Sc 2.90, 2 Te 2.93
Te 0.0000 0.0000 0.5000  4 Sc 2.78, 4 Tc 2.93
Te 0.5000 0.5000 0.0000  4 Sc 2.78, 4 Tc 2.93

Values from the calculation:
Space-group type: Immm, No. 71



Entry from the Alexandria database: an optimized crystal structure of Sc6TcTe2 (PBE-GGA).

a = 7.7366 Å, b = 7.7366 Å, c = 3.8910 Å
α = 90.00°, β = 90.00°, γ = 120.00°
With the nearest neighbours (Å) after each atom.
Element x y z (fractional)
Sc 0.0000 0.2372 0.0000  2 Tc 2.67
Sc 0.0000 0.6128 0.5000  1 Tc 3.00, 4 Te 3.09, 4 Sc 3.26
Sc 0.2372 0.0000 0.0000  2 Tc 2.67
Sc 0.3872 0.3872 0.5000  1 Tc 3.00, 4 Te 3.09, 4 Sc 3.26
Sc 0.6128 0.0000 0.5000  1 Tc 3.00, 4 Te 3.09, 4 Sc 3.26
Sc 0.7628 0.7628 0.0000  2 Tc 2.67
Tc 0.0000 0.0000 0.5000  6 Sc 2.67
Te 0.3333 0.6667 0.0000  9 Sc 3.02-3.09
Te 0.6667 0.3333 0.0000  9 Sc 3.02-3.09

Values from the calculation:
Space-group type: P-62m, No. 189



| no. | final energy (eV for the cell shown) |
| --- | --- |
| 1 | -54.96 |
| 2 | -75.95 |
| 3 | -54.75 |
| 4 | -29.86 |
| 5 | -40.90 |
| 6 | -55.42 |
| 7 | -59.95 |
| 8 | -107.72 |
| 9 | -101.34 |
| 10 | -27.24 |
| 11 | -59.76 |
| 12 | -60.61 |